A relaxed Rb2UHgS4 crystal. Source: the Alexandria database, functional PBE-GGA.

Properties
Symmetry: I-4
Formation energy from raw total energies, eV/atom: -0.882

a b c (Å): 7.152 7.152 7.152
angles (deg): 97.56 115.74 115.74
Site moments in Bohr magnetons follow the coordinates.
Positions (direct):
Rb 0.500 0.750 0.250  0.00
S 0.572 0.364 0.450  -0.04
S 0.086 0.208 0.636  -0.04
U 0.500 0.250 0.750  1.98
Rb 0.000 0.000 0.000  0.00
S 0.914 0.550 0.123  -0.04
S 0.428 0.877 0.792  -0.04
Hg 0.000 0.500 0.500  0.01


A relaxed AlCr2Mo crystal. Source: the Alexandria database, functional PBE-GGA.

Properties
Energy of formation from the pure elements, eV/atom: 0.1343
Symmetry: I4/mmm

a b c (Å): 4.638 4.638 4.638
angles (deg): 131.78 131.78 70.57
Positions (direct):
Mo 0.250 0.750 0.500
Cr 0.000 0.000 0.000
Cr 0.500 0.500 0.000
Al 0.750 0.250 0.500


A relaxed CeGe2PtRh5 crystal. Source: the Alexandria database, functional PBE-GGA.

Properties
Energy of formation from the pure elements, eV/atom: -0.1873
Symmetry: P4/mmm

a b c (Å): 4.584 4.584 7.353
angles (deg): 90.00 90.00 90.00
Positions (direct):
Rh 0.000 0.500 0.240
Rh 0.500 0.500 0.500
Rh 0.500 0.000 0.760
Rh 0.000 0.500 0.760
Pt 0.000 0.000 0.000
Ge 0.500 0.500 0.164
Ge 0.500 0.500 0.836
Rh 0.500 0.000 0.240
Ce 0.000 0.000 0.500


A relaxed Ho2Co5Ni5 crystal. Source: the Alexandria database, functional PBE-GGA.

Properties
Offset from the most stable computed form, eV per atom: 0.000
Energy of formation from the pure elements, eV/atom: -0.2189
Symmetry: Pmmm

a b c (Å): 4.001 4.805 8.512
angles (deg): 90.00 90.00 90.00
Site moments in Bohr magnetons follow the coordinates.
Positions (direct):
Co 0.500 0.752 0.254  1.54
Ho 0.000 0.500 0.000  -0.25
Ni 0.000 0.000 0.832  0.40
Ho 0.000 0.000 0.500  -0.29
Co 0.500 0.752 0.746  1.54
Ni 0.000 0.000 0.168  0.40
Ni 0.500 0.000 0.000  0.48
Co 0.500 0.248 0.746  1.54
Ni 0.000 0.500 0.669  0.42
Ni 0.000 0.500 0.331  0.42
Co 0.500 0.500 0.500  1.51
Co 0.500 0.248 0.254  1.54


A relaxed CePmHoTm crystal. Source: the Alexandria database, functional PBE-GGA.

Properties
Energy of formation from the pure elements, eV/atom: 0.1934
Symmetry: F-43m

a b c (Å): 5.669 5.669 5.669
angles (deg): 60.00 60.00 60.00
Site moments in Bohr magnetons follow the coordinates.
Positions (direct):
Pm 0.750 0.750 0.750  0.27
Ho 0.000 0.000 0.000  0.31
Tm 0.250 0.250 0.250  0.28
Ce 0.500 0.500 0.500  1.01


A relaxed LiAs2Au crystal. Source: the Alexandria database, functional PBE-GGA.

Properties
Offset from the most stable computed form, eV per atom: 0.115
Energy of formation from the pure elements, eV/atom: -0.1215
Symmetry: I-4m2

a b c (Å): 5.187 5.187 5.187
angles (deg): 134.07 134.01 67.03
Positions (direct):
Au 0.500 0.500 0.000
Li 0.250 0.750 0.500
As 0.750 0.250 0.500
As 0.000 0.000 0.000


A relaxed Al7Ag2 crystal. Source: the Alexandria database, functional PBE-GGA.

Properties
Energy of formation from the pure elements, eV/atom: -0.0126
Symmetry: P-31m

a b c (Å): 4.906 4.906 7.251
angles (deg): 90.00 90.00 60.00
Positions (direct):
Al 0.667 0.667 0.000
Ag 0.000 0.000 0.000
Al 0.667 0.334 0.334
Al 0.999 0.334 0.666
Al 0.999 0.667 0.334
Ag 0.333 0.333 0.000
Al 0.334 0.999 0.334
Al 0.667 0.999 0.666
Al 0.334 0.667 0.666


A relaxed Mn3NiMo2 crystal. Source: the Alexandria database, functional PBE-GGA.

Properties
Energy of formation from the pure elements, eV/atom: -0.0540
Symmetry: P6_3/mmc

a b c (Å): 4.663 4.663 7.882
angles (deg): 90.00 90.00 120.00
Positions (direct):
Mn 0.172 0.345 0.250
Mn 0.828 0.655 0.750
Mn 0.828 0.172 0.750
Mo 0.333 0.667 0.933
Ni 0.000 0.000 0.000
Ni 0.000 0.000 0.500
Mn 0.655 0.828 0.250
Mo 0.667 0.333 0.433
Mn 0.345 0.172 0.750
Mo 0.667 0.333 0.067
Mo 0.333 0.667 0.567
Mn 0.172 0.828 0.250


A relaxed SrMg2Pb crystal. Source: the Alexandria database, functional PBE-GGA.

Properties
Energy of formation from the pure elements, eV/atom: -0.1594
Symmetry: Immm

a b c (Å): 6.070 6.070 6.070
angles (deg): 132.71 132.43 69.33
Positions (direct):
Sr 0.250 0.750 0.500
Mg 0.999 0.999 0.000
Pb 0.750 0.250 0.500
Mg 0.501 0.501 0.000


A relaxed SbTe2AuSe crystal. Source: the Alexandria database, functional PBE-GGA.

Properties
Offset from the most stable computed form, eV per atom: 0.000
Symmetry: P4/mmm
Formation energy from raw total energies, eV/atom: 0.676

a b c (Å): 5.404 5.404 5.406
angles (deg): 90.00 90.00 90.00
Positions (direct):
Te 0.500 0.000 0.000
Se 0.500 0.500 0.500
Te 0.000 0.500 0.000
Au 0.000 0.000 0.000
Sb 0.000 0.000 0.500


A relaxed NpCoGe2 crystal. Source: the Alexandria database, functional PBE-GGA.

Properties
Energy of formation from the pure elements, eV/atom: -0.0772
Symmetry: P4/mmm

a b c (Å): 3.050 3.050 7.082
angles (deg): 90.00 90.00 90.00
Site moments in Bohr magnetons follow the coordinates.
Positions (direct):
Ge 0.000 0.000 0.805  -0.01
Np 0.500 0.500 0.500  4.21
Ge 0.000 0.000 0.195  -0.01
Co 0.500 0.500 0.000  -0.37


A relaxed CaTl2Mo crystal. Source: the Alexandria database, functional PBE-GGA.

Properties
Offset from the most stable computed form, eV per atom: 0.203
Energy of formation from the pure elements, eV/atom: 0.5430
Symmetry: P4mm

a b c (Å): 3.890 3.889 6.501
angles (deg): 90.00 90.00 90.00
Site moments in Bohr magnetons follow the coordinates.
Positions (direct):
Tl 0.000 0.000 0.966  0.02
Tl 0.500 0.500 0.238  -0.01
Mo 0.500 0.500 0.786  1.21
Ca 0.000 0.000 0.510  0.02


A relaxed Rb3ScMn crystal. Source: the Alexandria database, functional PBE-GGA.

Properties
Offset from the most stable computed form, eV per atom: 0.000
Energy of formation from the pure elements, eV/atom: 1.1953
Symmetry: Pm-3m

a b c (Å): 6.947 6.947 6.947
angles (deg): 90.00 90.00 90.00
Site moments in Bohr magnetons follow the coordinates.
Positions (direct):
Rb 0.000 0.500 0.000  0.01
Sc 0.500 0.500 0.500  0.92
Mn 0.000 0.000 0.000  4.14
Rb 0.500 0.000 0.000  0.01
Rb 0.000 0.000 0.500  0.00


A relaxed SrAcNdIn crystal. Source: the Alexandria database, functional PBE-GGA.

Properties
Energy of formation from the pure elements, eV/atom: 0.0104
Symmetry: F-43m

a b c (Å): 5.899 5.899 5.899
angles (deg): 60.00 60.00 60.00
Positions (direct):
In 0.000 0.000 0.000
Nd 0.750 0.750 0.750
Sr 0.250 0.250 0.250
Ac 0.500 0.500 0.500


A relaxed Sm4Tm3In2 crystal. Source: the Alexandria database, functional PBE-GGA.

Properties
Energy of formation from the pure elements, eV/atom: -0.1819
Symmetry: P-1

a b c (Å): 5.340 6.724 9.547
angles (deg): 60.11 73.80 66.60
Positions (direct):
Tm 0.000 0.000 0.000
Sm 0.331 0.371 0.966
Tm 0.421 0.805 0.353
Sm 0.116 0.426 0.342
In 0.207 0.903 0.683
Sm 0.884 0.574 0.658
Tm 0.579 0.195 0.647
Sm 0.669 0.629 0.034
In 0.793 0.097 0.317


A relaxed Ca2ZnPd2 crystal. Source: the Alexandria database, functional PBE-GGA.

Properties
Energy of formation from the pure elements, eV/atom: -0.3148
Symmetry: I4/mmm

a b c (Å): 3.844 3.844 8.486
angles (deg): 76.91 76.91 90.00
Positions (direct):
Pd 0.750 0.250 0.500
Ca 0.387 0.387 0.226
Pd 0.250 0.750 0.500
Zn 0.000 0.000 0.000
Ca 0.613 0.613 0.774


A relaxed Cs3K2BaI6 crystal. Source: the Alexandria database, functional PBE-GGA.

Properties
Symmetry: C2/m
Formation energy from raw total energies, eV/atom: -1.448

a b c (Å): 5.251 10.751 11.969
angles (deg): 104.20 102.67 90.00
Positions (direct):
I 0.005 0.229 0.010
I 0.672 0.569 0.344
I 0.995 0.771 0.990
Ba 0.500 0.000 0.000
K 0.832 0.662 0.664
Cs 0.832 0.170 0.665
Cs 0.168 0.830 0.335
Cs 0.500 0.500 0.000
I 0.328 0.431 0.656
K 0.168 0.338 0.336
I 0.657 0.094 0.314
I 0.343 0.906 0.686


A relaxed KRb2CrBr crystal. Source: the Alexandria database, functional PBE-GGA.

Properties
Symmetry: P4/mmm
Formation energy from raw total energies, eV/atom: 0.020

a b c (Å): 6.999 5.479 6.999
angles (deg): 90.00 90.00 90.00
Site moments in Bohr magnetons follow the coordinates.
Positions (direct):
Cr 0.000 0.500 0.000  4.21
K 0.500 0.500 0.500  0.00
Rb 0.500 0.000 0.000  0.01
Rb 0.000 0.000 0.500  0.00
Br 0.000 0.000 0.000  0.00